A plane-wave DFT calculation with GGA-PBE was carried out for crystalline NaSrRuO6 at its relaxed geometry.

POSCAR file:
```
NaSrRuO6
1.0
4.1688 0.0000 0.0000
0.3487 5.4967 0.0000
0.3074 2.4546 5.2208
Na Sr Ru O
1 1 1 6
Cartesian
0.0000 0.0000 0.0000
3.0150 5.1999 3.2587
1.5192 2.7045 1.2475
0.8315 4.8825 4.9551
0.8826 4.1250 2.1853
2.1214 0.9958 1.1860
2.6712 3.7798 0.3439
3.0441 2.5964 2.9558
4.1467 1.7722 2.6156
```

Its uncorrected formation energy is -1.282 eV/atom. The density of states at the Fermi level comes out at 0.622 states/eV per cell. The space group is P1. As for the energy: -5.95 eV/atom.

=====

A plane-wave DFT calculation with GGA-PBE was carried out for crystalline NaSr2RuO4 at its relaxed geometry.

POSCAR file:
```
NaSr2RuO4
1.0
1.8140 -6.3482 0.0000
1.8140 6.3482 0.0000
0.0000 0.0000 12.8634
Na Sr Ru O
2 4 2 8
Cartesian
1.8140 5.3404 9.6475
1.8140 -5.3404 3.2158
1.8140 1.6263 6.9895
1.8140 1.6263 12.3055
1.8140 -1.6263 0.5579
1.8140 -1.6263 5.8738
1.8140 3.5947 3.2158
1.8140 -3.5947 9.6475
0.0000 0.0000 0.0000
0.0000 0.0000 6.4317
1.8140 3.1535 1.3429
1.8140 3.1535 5.0888
1.8140 1.9762 9.6475
1.8140 -1.9762 3.2158
1.8140 -3.1535 7.7745
1.8140 -3.1535 11.5205
```

Its uncorrected formation energy is -1.718 eV/atom. The density of states at the Fermi level comes out at 6.902 states/eV per cell. The space group is Cmcm. As for the energy: -5.94 eV/atom.

=====

A plane-wave DFT calculation with GGA-PBE was carried out for crystalline Na2SrRu3O8 at its relaxed geometry.

POSCAR file:
```
Na2SrRu3O8
1.0
3.0814 1.7791 5.7189
-3.0814 1.7791 5.7189
0.0000 -3.5581 5.7189
Na Sr Ru O
2 1 3 8
Cartesian
0.0000 0.0000 0.0000
0.0000 0.0000 6.5272
0.0000 0.0000 12.7726
0.0000 -1.8684 9.3238
-1.6181 0.9342 9.3238
1.6181 0.9342 9.3238
0.0000 -1.5874 4.7731
-1.3747 0.7937 4.7731
0.0000 0.0000 2.3552
-1.3758 -0.7943 8.2902
1.3747 0.7937 4.7730
0.0000 0.0000 10.3354
1.3758 -0.7943 8.2902
0.0000 1.5886 8.2902
```

Its uncorrected formation energy is -1.322 eV/atom. The density of states at the Fermi level comes out at 2.063 states/eV per cell. The space group is R3m. As for the energy: -6.45 eV/atom.